Material: Sn2HgTe
Method: DFT, PBE
State: optimized geometry

Output
E_form (uncorrected) (meV per atom): 14

```
data_Sn2HgTe
_chemical_formula_sum 'Sn2 Hg1 Te1'
_symmetry_space_group_name_H-M 'P 4/m m m'
_symmetry_Int_Tables_number 123
_symmetry_space_group_name_Hall '-P 4 2'
_cell_length_a 3.926
_cell_length_b 3.926
_cell_length_c 7.332
_cell_angle_alpha 90.00
_cell_angle_beta 90.00
_cell_angle_gamma 90.00
loop_
_atom_site_label
_atom_site_fract_x
_atom_site_fract_y
_atom_site_fract_z
Sn1 0.000 0.000 0.239
Hg1 0.500 0.500 0.500
Te1 0.500 0.500 0.000
```

Material: Te2RhPb
Method: DFT, PBE
State: optimized geometry

Output
E_form (uncorrected) (meV per atom): -183

```
data_Te2RhPb
_chemical_formula_sum 'Te4 Rh2 Pb2'
_symmetry_space_group_name_H-M 'C 1 m 1'
_symmetry_Int_Tables_number 8
_cell_length_a 11.155
_cell_length_b 3.906
_cell_length_c 5.551
_cell_angle_alpha 90.00
_cell_angle_beta 113.11
_cell_angle_gamma 90.00
loop_
_symmetry_equiv_pos_as_xyz
'x,y,z'
'x,-y,z'
'x+1/2,y+1/2,z'
'x+1/2,-y+1/2,z'
loop_
_atom_site_label
_atom_site_fract_x
_atom_site_fract_y
_atom_site_fract_z
Te1 0.000 0.000 0.000
Te2 0.170 0.000 0.686
Rh1 0.063 0.500 0.343
Pb1 0.333 0.500 0.380
```

Material: LiCu2NiN
Method: DFT, PBE
State: optimized geometry

Output
E_form (uncorrected) (meV per atom): -10

```
data_LiCu2NiN
_chemical_formula_sum 'Li1 Cu2 Ni1 N1'
_symmetry_space_group_name_H-M 'P 4/m m m'
_symmetry_Int_Tables_number 123
_symmetry_space_group_name_Hall '-P 4 2'
_cell_length_a 3.862
_cell_length_b 3.862
_cell_length_c 3.750
_cell_angle_alpha 90.00
_cell_angle_beta 90.00
_cell_angle_gamma 90.00
loop_
_atom_site_label
_atom_site_fract_x
_atom_site_fract_y
_atom_site_fract_z
Li1 0.000 0.000 0.000
Cu1 0.000 0.500 0.500
Ni1 0.500 0.500 0.000
N1 0.500 0.500 0.500
```

> Number 1 is which compound?

Sn2HgTe

Please write out number 1 again, unchanged.
Material: Sn2HgTe
Method: DFT, PBE
State: optimized geometry

Output
E_form (uncorrected) (meV per atom): 14

```
data_Sn2HgTe
_chemical_formula_sum 'Sn2 Hg1 Te1'
_symmetry_space_group_name_H-M 'P 4/m m m'
_symmetry_Int_Tables_number 123
_symmetry_space_group_name_Hall '-P 4 2'
_cell_length_a 3.926
_cell_length_b 3.926
_cell_length_c 7.332
_cell_angle_alpha 90.00
_cell_angle_beta 90.00
_cell_angle_gamma 90.00
loop_
_atom_site_label
_atom_site_fract_x
_atom_site_fract_y
_atom_site_fract_z
Sn1 0.000 0.000 0.239
Hg1 0.500 0.500 0.500
Te1 0.500 0.500 0.000
```

> Which of these has the highest E_form (uncorrected)?

Sn2HgTe

> Which formula does entry 2 have?

Te2RhPb